Below is HfZrTi4 after structural relaxation, with properties calculated at the PBE level.

raw total energy: -8.187 eV/atom
symmetry: F-43m (216)
polymorph energy (0 for the lowest one): 0.89 eV per formula unit
E_form: 15 kJ per mole of atoms
density of states at the Fermi level: 1.5526 states/eV/atom

Lattice parameters (Å, degrees): 5.5074 5.5074 5.5074 60.00 60.00 60.00
Closest atoms and distances in Å follow each position.
Fractional positions:
Hf  0.0000  0.0000  0.0000  12 Ti 3.23, 4 Zr 3.37
Zr  0.7500  0.7500  0.7500  12 Ti 3.23, 4 Hf 3.37
Ti  0.3747  0.3747  0.3747  6 Ti 2.75-2.76
Ti  0.3747  0.3747  0.8759  6 Ti 2.75-2.76
Ti  0.3747  0.8759  0.3747  6 Ti 2.75-2.76
Ti  0.8759  0.3747  0.3747  6 Ti 2.75-2.76